Entry from Alexandria via LeMat-Bulk: a relaxed structure of LiLa2CoI (GGA-PBE).

Results
- Mass density: 5.761 Mg/m³
- Electronic total energy: -4.441 eV per atom
- E_form (uncorrected): -356.4 meV per atom

Cell: 5.173 5.173 5.069 Å, 90.00 90.00 90.00°
Space group P4/mmm (No. 123)
Symmetry-distinct sites (fractional):
Li: 0.000 0.000 0.000 (multiplicity 1)
La: 0.000 0.500 0.500 (multiplicity 2)
Co: 0.000 0.000 0.500 (multiplicity 1)
I: 0.500 0.500 0.000 (multiplicity 1)